Here is AcLa2Sm12 after structural relaxation from Alexandria via LeMat-Bulk. Energies are from GGA-PBE.

a = 6.5697 Å, b = 6.5697 Å, c = 25.8760 Å
α = 90.00°, β = 90.00°, γ = 90.00°
With the nearest neighbours (Å) after each atom.
Fractional coordinates of all 30 atoms:
Ac (0.2500, 0.7500, 0.0000)  4 Sm 3.59
Ac (0.7500, 0.2500, 0.0000)  4 Sm 3.59
La (0.2500, 0.7500, 0.2717)  8 Sm 3.54-3.75
La (0.2500, 0.7500, 0.7283)  8 Sm 3.54-3.75
La (0.7500, 0.2500, 0.2717)  8 Sm 3.54-3.75
La (0.7500, 0.2500, 0.7283)  8 Sm 3.54-3.75
Sm (0.0646, 0.5646, 0.1216)  7 Sm 3.39-3.51, 1 Ac 3.59
Sm (0.0646, 0.9354, 0.8784)  7 Sm 3.39-3.51, 1 Ac 3.59
Sm (0.0819, 0.5819, 0.5601)  6 Sm 3.12-3.46
Sm (0.0819, 0.9181, 0.4399)  6 Sm 3.12-3.46
Sm (0.2500, 0.2500, 0.2207)  5 Sm 3.14-3.51
Sm (0.2500, 0.2500, 0.3420)  1 Sm 3.14
Sm (0.2500, 0.2500, 0.6580)  1 Sm 3.14
Sm (0.2500, 0.2500, 0.7793)  5 Sm 3.14-3.51
Sm (0.4181, 0.5819, 0.4399)  6 Sm 3.12-3.46
Sm (0.4181, 0.9181, 0.5601)  6 Sm 3.12-3.46
Sm (0.4354, 0.5646, 0.8784)  7 Sm 3.39-3.51, 1 Ac 3.59
Sm (0.4354, 0.9354, 0.1216)  7 Sm 3.39-3.51, 1 Ac 3.59
Sm (0.5646, 0.0646, 0.8784)  7 Sm 3.39-3.51, 1 Ac 3.59
Sm (0.5646, 0.4354, 0.1216)  7 Sm 3.39-3.51, 1 Ac 3.59
Sm (0.5819, 0.0819, 0.4399)  6 Sm 3.12-3.46
Sm (0.5819, 0.4181, 0.5601)  6 Sm 3.12-3.46
Sm (0.7500, 0.7500, 0.2207)  5 Sm 3.14-3.51
Sm (0.7500, 0.7500, 0.3420)  1 Sm 3.14
Sm (0.7500, 0.7500, 0.6580)  1 Sm 3.14
Sm (0.7500, 0.7500, 0.7793)  5 Sm 3.14-3.51
Sm (0.9181, 0.0819, 0.5601)  6 Sm 3.12-3.46
Sm (0.9181, 0.4181, 0.4399)  6 Sm 3.12-3.46
Sm (0.9354, 0.0646, 0.1216)  7 Sm 3.39-3.51, 1 Ac 3.59
Sm (0.9354, 0.4354, 0.8784)  7 Sm 3.39-3.51, 1 Ac 3.59

Values from the calculation:
- space-group type = No. 125
- size of the total moment (μB per atom) = 0.0000
- calculated formation energy (eV/atom) = 0.2740